Density functional theory data (PBE) for crystalline CaGdInBi at its relaxed geometry.

a = 5.5121 Å, b = 5.5121 Å, c = 5.5121 Å
α = 60.00°, β = 60.00°, γ = 60.00°
With the nearest neighbours (Å) after each atom.
Atoms (fractional coordinates):
1 Ca 0.7500 0.7500 0.7500  4 Bi 3.38, 4 In 3.38
2 Gd 0.2500 0.2500 0.2500  4 Bi 3.38, 4 In 3.38
3 Bi 0.5000 0.5000 0.5000  4 Ca 3.38, 4 Gd 3.38
4 In 0.0000 0.0000 0.0000  4 Gd 3.38, 4 Ca 3.38

Energy of formation ... -0.5130 eV/atom

Density functional theory data (PBE) for crystalline MnFeOs2Au at its relaxed geometry.

a = 4.3490 Å, b = 4.6861 Å, c = 4.3490 Å
α = 90.00°, β = 90.00°, γ = 90.00°
With the nearest neighbours (Å) after each atom.
Atoms (fractional coordinates):
1 Os 0.0000 0.0000 0.5000  2 Fe 2.17
2 Os 0.5000 0.0000 0.0000  2 Fe 2.17
3 Mn 0.5000 0.5000 0.5000  4 Au 3.08, 8 Os 3.20
4 Au 0.0000 0.5000 0.0000  2 Fe 2.34
5 Fe 0.0000 0.0000 0.0000  4 Os 2.17, 2 Au 2.34

Energy of formation ... 1.9375 eV/atom

Density functional theory data (PBE) for crystalline K8NaO2 at its relaxed geometry.

a = 5.3055 Å, b = 8.3013 Å, c = 11.9597 Å
α = 69.69°, β = 93.75°, γ = 100.87°
With the nearest neighbours (Å) after each atom.
Atoms (fractional coordinates):
1 K 0.9259 0.0285 0.3550  2 O 2.68-2.73
2 K 0.9259 0.3835 0.6450  2 O 2.68-2.73
3 K 0.1652 0.3166 0.0000  1 Na 3.44, 1 K 3.79
4 K 0.5000 0.7030 0.5939  2 O 2.75
5 K 0.5000 0.2970 0.4061  2 O 2.75
6 K 0.8348 0.6834 0.0000  1 Na 3.44, 1 K 3.79
7 K 0.0741 0.6165 0.3550  2 O 2.68-2.73
8 K 0.0741 0.9715 0.6450  2 O 2.68-2.73
9 Na 0.5000 0.0000 0.0000  2 K 3.44
10 O 0.0000 0.2647 0.4706  6 K 2.68-2.75
11 O 0.0000 0.7353 0.5294  6 K 2.68-2.75

Total DFT energy (no corrections) ... -2.302 eV per atom

Density functional theory data (PBE) for crystalline BaP2IrRh at its relaxed geometry.

a = 4.0499 Å, b = 6.2987 Å, c = 9.0822 Å
α = 96.64°, β = 90.00°, γ = 108.75°
With the nearest neighbours (Å) after each atom.
Atoms (fractional coordinates):
1 Ba 0.3530 0.7060 0.3370  6 P 3.27-3.37, 3 Rh 3.51-3.62, 3 Ir 3.58-3.62
2 Ba 0.6470 0.2940 0.6630  6 P 3.27-3.37, 3 Rh 3.51-3.62, 3 Ir 3.58-3.62
3 P 0.3718 0.7435 0.6988  2 Rh 2.33, 1 Ir 2.35
4 P 0.6282 0.2565 0.3012  2 Rh 2.33, 1 Ir 2.35
5 P 0.1151 0.2303 0.9511  2 Rh 2.34-2.39, 3 Ir 2.35-2.39
6 P 0.8849 0.7697 0.0489  2 Rh 2.34-2.39, 3 Ir 2.35-2.39
7 Ir 0.6898 0.3795 0.0649  4 P 2.35-2.39
8 Ir 0.3102 0.6205 0.9351  4 P 2.35-2.39
9 Rh 0.0662 0.1324 0.1930  4 P 2.33-2.39
10 Rh 0.9338 0.8676 0.8070  4 P 2.33-2.39

Energy of formation ... -0.8331 eV/atom

Density functional theory data (PBE) for crystalline AcErCd at its relaxed geometry.

a = 3.9687 Å, b = 5.3835 Å, c = 5.3835 Å
α = 120.00°, β = 90.00°, γ = 90.00°
With the nearest neighbours (Å) after each atom.
Atoms (fractional coordinates):
1 Ac 0.6668 0.3333 0.6667  6 Cd 3.69, 6 Er 3.69, 2 Ac 3.97
2 Cd 0.1663 0.0000 0.0000  3 Er 3.11
3 Er 0.1670 0.6667 0.3333  3 Cd 3.11

Polymorph energy (0 for the lowest one) ... 88 meV/atom
Energy of formation ... -0.0702 eV/atom

Density functional theory data (PBE) for crystalline Th8Ge3Se4S at its relaxed geometry.

a = 8.4740 Å, b = 8.4572 Å, c = 8.4738 Å
α = 120.07°, β = 120.00°, γ = 90.00°
With the nearest neighbours (Å) after each atom.
Atoms (fractional coordinates):
1 Th 0.2432 0.7376 0.9943  1 S 2.91, 2 Ge 2.96, 3 Se 3.03-3.07
2 Th 0.2432 0.7376 0.4865  1 S 2.91, 2 Ge 2.96, 3 Se 3.03-3.07
3 Th 0.2526 0.2579 0.5053  3 Ge 2.96, 3 Se 3.02
4 Th 0.7511 0.7376 0.9943  1 S 2.91, 2 Ge 2.96, 3 Se 3.03-3.07
5 Th 0.2489 0.2624 0.0057  1 S 2.91, 2 Ge 2.96, 3 Se 3.03-3.07
6 Th 0.7474 0.7421 0.4947  3 Ge 2.96, 3 Se 3.02
7 Th 0.7568 0.2624 0.5135  1 S 2.91, 2 Ge 2.96, 3 Se 3.03-3.07
8 Th 0.7568 0.2624 0.0057  1 S 2.91, 2 Ge 2.96, 3 Se 3.03-3.07
9 Ge 0.5000 0.5000 0.0000  6 Th 2.96
10 Ge 0.5000 0.5000 0.5000  6 Th 2.96
11 Ge 0.0000 0.5000 0.5000  6 Th 2.96
12 Se 0.5000 0.0000 0.0000  6 Th 3.07
13 Se 0.5000 0.0000 0.5000  6 Th 3.02-3.03
14 Se 0.0000 0.0000 0.0000  6 Th 3.02-3.03
15 Se 0.0000 0.0000 0.5000  6 Th 3.02-3.03
16 S 0.0000 0.5000 0.0000  6 Th 2.91

Total DFT energy (no corrections) ... -7.049 eV per atom

Density functional theory data (PBE) for crystalline KBiBr2F at its relaxed geometry.

a = 6.1068 Å, b = 6.1068 Å, c = 4.6007 Å
α = 90.00°, β = 90.00°, γ = 90.00°
With the nearest neighbours (Å) after each atom.
Atoms (fractional coordinates):
1 K 0.5000 0.5000 0.5000  8 Br 3.82
2 Bi 0.0000 0.0000 0.0000  2 F 2.30
3 Br 0.0000 0.5000 0.0000  2 Bi 3.05
4 Br 0.5000 0.0000 0.0000  2 Bi 3.05
5 F 0.0000 0.0000 0.5000  2 Bi 2.30

Total DFT energy (no corrections) ... -3.391 eV per atom

Density functional theory data (PBE) for crystalline Sc2CdNi at its relaxed geometry.

a = 10.0333 Å, b = 10.0333 Å, c = 10.0333 Å
α = 17.80°, β = 17.80°, γ = 17.80°
With the nearest neighbours (Å) after each atom.
Atoms (fractional coordinates):
1 Sc 0.9197 0.9197 0.9197  1 Ni 2.38
2 Sc 0.0803 0.0803 0.0803  1 Ni 2.38
3 Ni 0.0000 0.0000 0.0000  2 Sc 2.38
4 Cd 0.5000 0.5000 0.5000  6 Cd 3.11, 6 Sc 3.12

Energy of formation ... 0.2519 eV/atom

Density functional theory data (PBE) for crystalline InSbSeN2 at its relaxed geometry.

a = 4.2275 Å, b = 4.2275 Å, c = 5.4275 Å
α = 90.00°, β = 90.00°, γ = 90.00°
With the nearest neighbours (Å) after each atom.
Atoms (fractional coordinates):
1 Sb 0.5000 0.5000 0.5000  4 Se 2.99
2 N 0.0000 0.5000 0.0000  2 In 2.11
3 N 0.5000 0.0000 0.0000  2 In 2.11
4 Se 0.0000 0.0000 0.5000  2 In 2.71, 4 Sb 2.99
5 In 0.0000 0.0000 0.0000  4 N 2.11

Polymorph energy (0 for the lowest one) ... 378 meV/atom

Density functional theory data (PBE) for crystalline TbPr2Mg at its relaxed geometry.

a = 5.6518 Å, b = 5.6518 Å, c = 5.6518 Å
α = 60.00°, β = 60.00°, γ = 60.00°
With the nearest neighbours (Å) after each atom.
Atoms (fractional coordinates):
1 Pr 0.2500 0.2500 0.2500  4 Tb 3.46, 4 Mg 3.46
2 Pr 0.7500 0.7500 0.7500  4 Mg 3.46, 4 Tb 3.46
3 Mg 0.5000 0.5000 0.5000  8 Pr 3.46
4 Tb 0.0000 0.0000 0.0000  8 Pr 3.46

Polymorph energy (0 for the lowest one) ... 57 meV/atom
Energy of formation ... 0.0225 eV/atom

Density functional theory data (PBE) for crystalline InNiAs2 at its relaxed geometry.

a = 6.1636 Å, b = 6.1636 Å, c = 6.1636 Å
α = 151.04°, β = 137.39°, γ = 52.34°
With the nearest neighbours (Å) after each atom.
Atoms (fractional coordinates):
1 As 0.9248 0.9248 0.0000  2 Ni 2.47
2 As 0.5752 0.5752 0.0000  2 Ni 2.47
3 In 0.2500 0.7500 0.5000  4 Ni 2.72, 4 As 2.96
4 Ni 0.7500 0.2500 0.5000  4 As 2.47, 4 In 2.72

Energy of formation ... 0.0284 eV/atom

Density functional theory data (PBE) for crystalline HfZr4 at its relaxed geometry.

a = 5.1341 Å, b = 5.1341 Å, c = 5.1341 Å
α = 90.00°, β = 90.00°, γ = 90.00°
With the nearest neighbours (Å) after each atom.
Atoms (fractional coordinates):
1 Hf 0.5000 0.5000 0.5000  6 Zr 2.57
2 Zr 0.0000 0.0000 0.0000  12 Zr 3.63
3 Zr 0.5000 0.0000 0.5000  2 Hf 2.57
4 Zr 0.0000 0.5000 0.5000  2 Hf 2.57
5 Zr 0.5000 0.5000 0.0000  2 Hf 2.57

Polymorph energy (0 for the lowest one) ... 1007 meV/atom
Energy of formation ... 1.0369 eV/atom